DFT (PBE-GGA) results for an optimized crystal structure of Ac4CdGa2.

Calculated values
total magnetization = 0.0000 μB per atom
SG = R-3m (166)
Fermi-level density of states = 6.96 states/eV/f.u.
formation energy = -2.127 eV per formula unit

abc: 5.5767 5.5767 9.4813
angles: 72.90 72.90 60.00
Fractional positions:
Ac  0.8707  0.8707  0.3878
Ac  0.3810  0.3810  0.8570
Ac  0.1293  0.1293  0.6122
Ac  0.6190  0.6190  0.1430
Ga  0.2525  0.2525  0.2425
Ga  0.7475  0.7475  0.7575
Cd  0.0000  0.0000  0.0000

***

DFT (PBE-GGA) results for an optimized crystal structure of Ac3Cd4Ga4.

Calculated values
total magnetization = 0.0000 μB per atom
SG = Immm (71)
ΔE to the lowest computed polymorph = 0 meV/atom
Fermi-level density of states = 7.57 states/eV/f.u.
formation energy = -4.745 eV per formula unit

abc: 4.8144 7.5780 9.0595
angles: 114.72 105.41 90.00
Fractional positions:
Cd  0.6644  0.8550  0.3288
Cd  0.3356  0.1450  0.6712
Cd  0.6644  0.4737  0.3288
Cd  0.3356  0.5263  0.6712
Ac  0.8724  0.8724  0.7447
Ac  0.1276  0.1276  0.2553
Ac  0.0000  0.5000  0.0000
Ga  0.2199  0.7199  0.4398
Ga  0.5000  0.8250  0.0000
Ga  0.5000  0.1750  0.0000
Ga  0.7801  0.2801  0.5602

***

DFT (PBE-GGA) results for an optimized crystal structure of Ac2Cd15Ga2.

Calculated values
total magnetization = 0.0000 μB per atom
SG = R-3m (166)
Fermi-level density of states = 7.61 states/eV/f.u.
formation energy = -3.235 eV per formula unit

abc: 7.7262 7.7262 7.7262
angles: 84.01 84.01 84.01
Fractional positions:
Cd  0.0000  0.0000  0.5000
Cd  0.8354  0.3549  0.3549
Cd  0.3549  0.8354  0.3549
Cd  0.0000  0.3010  0.6990
Cd  0.6990  0.0000  0.3010
Cd  0.6451  0.6451  0.1646
Cd  0.6451  0.1646  0.6451
Cd  0.6990  0.3010  0.0000
Cd  0.5000  0.0000  0.0000
Cd  0.1646  0.6451  0.6451
Cd  0.0000  0.5000  0.0000
Cd  0.3549  0.3549  0.8354
Cd  0.3010  0.0000  0.6990
Cd  0.3010  0.6990  0.0000
Cd  0.0000  0.6990  0.3010
Ac  0.6734  0.6734  0.6734
Ac  0.3266  0.3266  0.3266
Ga  0.0941  0.0941  0.0941
Ga  0.9059  0.9059  0.9059

***

DFT (PBE-GGA) results for an optimized crystal structure of Ac2CdGa.

Calculated values
total magnetization = 0.0000 μB per atom
SG = R-3m (166)
Fermi-level density of states = 3.76 states/eV/f.u.
formation energy = 0.099 eV per formula unit

abc: 3.8985 3.8985 11.8278
angles: 80.51 80.51 60.00
Fractional positions:
Cd  0.0000  0.0000  0.0000
Ga  0.5000  0.5000  0.5000
Ac  0.1009  0.1009  0.6972
Ac  0.8991  0.8991  0.3028

***

DFT (PBE-GGA) results for an optimized crystal structure of Ac3Cd4Ga4.

Calculated values
total magnetization = 0.0000 μB per atom
SG = C2/m (12)
ΔE to the lowest computed polymorph = 6 meV/atom
Fermi-level density of states = 9.16 states/eV/f.u.
formation energy = -4.674 eV per formula unit

abc: 4.5001 4.6789 14.2974
angles: 80.59 81.16 90.06
Fractional positions:
Ac  0.0000  0.0000  0.0000
Ac  0.8490  0.3519  0.2964
Ac  0.1510  0.6481  0.7036
Cd  0.5966  0.0953  0.8107
Cd  0.2499  0.2502  0.4984
Cd  0.4034  0.9047  0.1893
Cd  0.7501  0.7498  0.5016
Ga  0.5286  0.5463  0.9080
Ga  0.6908  0.1918  0.6181
Ga  0.3092  0.8083  0.3819
Ga  0.4715  0.4538  0.0920

***

DFT (PBE-GGA) results for an optimized crystal structure of Ac2CdGa3.

Calculated values
total magnetization = 0.0000 μB per atom
SG = Imm2 (44)
ΔE to the lowest computed polymorph = 0 meV/atom
Fermi-level density of states = 5.11 states/eV/f.u.
formation energy = -3.187 eV per formula unit

abc: 4.3113 4.7648 8.6264
angles: 106.03 104.47 90.00
Fractional positions:
Ga  0.2895  0.7895  0.5791
Ga  0.5448  0.5448  0.0896
Ga  0.7061  0.7061  0.4121
Ac  0.1343  0.1343  0.2687
Ac  0.8651  0.3651  0.7303
Cd  0.4601  0.9601  0.9202